No. 1
Below is an optimized crystal structure of BeCrW2, with properties calculated at the PBEsol level.

Cell lengths 2.612, 4.072, 5.076 Å; angles 90.00, 100.81, 90.00 degrees
Space group P2/m (No. 10)
Inequivalent atoms, fractional coordinates:
Be: 0.000 0.000 0.000 x1
Cr: 0.500 0.000 0.500 x1
W: 0.251 0.500 0.750 x2



No. 2
Below is an optimized crystal structure of BeCr2W, with properties calculated at the PBEsol level.

Cell lengths 3.489, 3.489, 7.783 Å; angles 90.00, 90.00, 90.00 degrees
Space group I-4m2 (No. 119)
Inequivalent atoms, fractional coordinates:
Be: 0.000 0.000 0.000 x2
Cr: 0.000 0.000 0.500 x2
Cr: 0.000 0.500 0.250 x2
W: 0.000 0.500 0.750 x2



No. 3
Below is an optimized crystal structure of BeCr2W, with properties calculated at the PBEsol level.

Cell lengths 5.736, 5.736, 5.736 Å; angles 90.00, 90.00, 90.00 degrees
Space group F-43m (No. 216)
Inequivalent atoms, fractional coordinates:
Be: 0.000 0.000 0.000 x4
Cr: 0.000 0.000 0.500 x4
Cr: 0.250 0.250 0.250 x4
W: 0.250 0.250 0.750 x4



No. 4
Below is an optimized crystal structure of BeCrW, with properties calculated at the PBEsol level.

Cell lengths 2.515, 3.848, 7.578 Å; angles 90.00, 90.00, 90.00 degrees
Space group Imm2 (No. 44)
Inequivalent atoms, fractional coordinates:
Be: 0.000 0.000 0.000 x2
Cr: 0.000 0.000 0.656 x2
W: 0.000 0.000 0.333 x2



No. 5
Below is an optimized crystal structure of BeCr2W, with properties calculated at the PBEsol level.

Cell lengths 4.920, 8.241, 2.520 Å; angles 90.00, 111.01, 90.00 degrees
Space group C2/m (No. 12)
Inequivalent atoms, fractional coordinates:
Be: 0.000 0.000 0.000 x2
Cr: 0.250 0.250 0.500 x4
W: 0.000 0.500 0.000 x2



No. 6
Below is an optimized crystal structure of BeCrW3, with properties calculated at the PBEsol level.

Cell lengths 4.421, 4.421, 4.421 Å; angles 90.00, 90.00, 90.00 degrees
Space group Pm-3m (No. 221)
Inequivalent atoms, fractional coordinates:
Be: 0.000 0.000 0.000 x1
Cr: 0.500 0.500 0.500 x1
W: 0.000 0.500 0.500 x3



No. 7
Below is an optimized crystal structure of Be4CrW, with properties calculated at the PBEsol level.

Cell lengths 6.088, 6.088, 6.088 Å; angles 90.00, 90.00, 90.00 degrees
Space group F-43m (No. 216)
Inequivalent atoms, fractional coordinates:
Be: 0.125 0.125 0.125 x16
Cr: 0.250 0.250 0.750 x4
W: 0.000 0.000 0.500 x4



No. 8
Below is an optimized crystal structure of BeCrW2, with properties calculated at the PBEsol level.

Cell lengths 3.167, 4.239, 7.715 Å; angles 90.00, 90.00, 90.00 degrees
Space group Cmm2 (No. 35)
Inequivalent atoms, fractional coordinates:
Be: 0.000 0.000 0.000 x2
Cr: 0.000 0.500 0.793 x2
W: 0.000 0.000 0.528 x2
W: 0.000 0.500 0.235 x2



Sequential VASP energy output: -10.2158; -9.2965; -9.3048; -9.0869; -9.3638; -9.3047; -6.9118; -10.2756 eV/atom